# PBE-GGA ErTm2In, relaxed
data_ErTm2In
_chemical_formula_sum 'Er1 Tm2 In1'
_symmetry_space_group_name_H-M 'P 1'
_symmetry_Int_Tables_number 1
_cell_length_a 4.786
_cell_length_b 4.786
_cell_length_c 4.788
_cell_angle_alpha 90.00
_cell_angle_beta 90.00
_cell_angle_gamma 90.00
loop_
_symmetry_equiv_pos_as_xyz
'x,y,z'
loop_
_atom_site_label
_atom_site_fract_x
_atom_site_fract_y
_atom_site_fract_z
Er1 0.000 0.000 0.000
Tm1 0.000 0.500 0.500
Tm2 0.500 0.000 0.500
In1 0.500 0.500 0.000
# * magnetic moment: 0.0 μB per formula unit
# * E_form: -5.98 kcal/mol of atoms
# * final energy: -0.159 Ha/atom
# * energy above the most stable polymorph in this dataset: 0 meV/atom